Entry 1:
Density functional theory data (PBE-GGA) for a relaxed Tb6SmDy2Er crystal.

a b c (Å): 9.5625 8.7817 8.7817
angles (deg): 117.86 93.86 93.86
Positions (direct):
Tb 0.1196 0.7083 0.4931
Tb 0.3804 0.5069 0.2917
Tb 0.4440 0.2491 0.8771
Tb 0.0560 0.1229 0.7509
Tb 0.6196 0.4931 0.7083
Tb 0.8156 0.4326 0.9830
Tb 0.8804 0.2917 0.5069
Tb 0.3156 0.9830 0.4326
Tb 0.9440 0.8771 0.2491
Tb 0.6844 0.0170 0.5674
Tb 0.5560 0.7509 0.1229
Tb 0.1844 0.5674 0.0170
Dy 0.4550 0.8011 0.6973
Dy 0.9550 0.6973 0.8011
Dy 0.5450 0.1989 0.3027
Dy 0.0450 0.3027 0.1989
Er 0.2500 0.4092 0.5908
Er 0.7500 0.5908 0.4092
Sm 0.2500 0.9760 0.0240
Sm 0.7500 0.0240 0.9760

Summary:
Symmetry: C2/c (15)
Crystal system: monoclinic



Entry 2:
Density functional theory data (PBE-GGA) for a relaxed Tb2SmDy4Er2 crystal.

a b c (Å): 3.5786 9.4596 9.5093
angles (deg): 115.22 90.00 100.90
Positions (direct):
Er 0.3324 0.6648 0.9993
Er 0.6676 0.3352 0.0007
Sm 0.0000 0.0000 0.0000
Dy 0.1855 0.3709 0.3340
Dy 0.4814 0.9628 0.6658
Dy 0.8145 0.6291 0.6660
Dy 0.5186 0.0372 0.3342
Tb 0.1482 0.2963 0.6668
Tb 0.8518 0.7037 0.3332

Summary:
Symmetry: C2/m (12)
Crystal system: monoclinic



Entry 3:
Density functional theory data (PBE-GGA) for a relaxed Tb2SmDyEr6 crystal.

a b c (Å): 9.5096 8.7210 8.7210
angles (deg): 117.91 93.97 93.97
Positions (direct):
Er 0.6189 0.4931 0.7084
Er 0.5572 0.7480 0.1242
Er 0.8811 0.2916 0.5069
Er 0.0572 0.1242 0.7480
Er 0.3163 0.9795 0.4303
Er 0.1189 0.7084 0.4931
Er 0.4428 0.2520 0.8758
Er 0.3811 0.5069 0.2916
Er 0.6837 0.0205 0.5697
Er 0.8163 0.4303 0.9795
Er 0.1837 0.5697 0.0205
Er 0.9428 0.8758 0.2520
Sm 0.7500 0.0233 0.9767
Sm 0.2500 0.9767 0.0233
Tb 0.5448 0.1963 0.3014
Tb 0.4552 0.8037 0.6986
Tb 0.0448 0.3014 0.1963
Tb 0.9552 0.6986 0.8037
Dy 0.2500 0.4087 0.5913
Dy 0.7500 0.5913 0.4087

Summary:
Symmetry: C2/c (15)
Crystal system: monoclinic



Entry 4:
Density functional theory data (PBE-GGA) for a relaxed Tb2Sm6Dy3Er crystal.

a b c (Å): 6.2142 6.2142 11.8387
angles (deg): 95.00 95.00 119.98
Positions (direct):
Sm 0.2494 0.2494 0.7499
Sm 0.5834 0.9164 0.7500
Sm 0.4166 0.0836 0.2500
Sm 0.7506 0.7506 0.2501
Sm 0.9164 0.5834 0.7500
Sm 0.0836 0.4166 0.2500
Dy 0.1666 0.8334 0.5000
Dy 0.5000 0.5000 0.5000
Dy 0.8334 0.1666 0.5000
Tb 0.3333 0.6667 0.0000
Tb 0.6667 0.3333 0.0000
Er 0.0000 0.0000 0.0000

Summary:
Symmetry: C2/m (12)
Crystal system: monoclinic



Entry 5:
Density functional theory data (PBE-GGA) for a relaxed Tb6SmDy3Er2 crystal.

a b c (Å): 6.1484 6.1484 11.7716
angles (deg): 94.97 94.97 119.95
Positions (direct):
Tb 0.2503 0.2503 0.7500
Tb 0.5823 0.9162 0.7498
Tb 0.4177 0.0838 0.2502
Tb 0.0838 0.4177 0.2502
Tb 0.7497 0.7497 0.2500
Tb 0.9162 0.5823 0.7498
Sm 0.0000 0.0000 0.0000
Dy 0.5000 0.5000 0.5000
Dy 0.8331 0.1669 0.5000
Dy 0.1669 0.8331 0.5000
Er 0.6667 0.3333 0.0000
Er 0.3333 0.6667 0.0000

Summary:
Symmetry: C2/m (12)
Crystal system: monoclinic



Entry 6:
Density functional theory data (PBE-GGA) for a relaxed Sm2DyEr3Te6 crystal.

a b c (Å): 4.3333 8.8009 9.7949
angles (deg): 103.80 102.78 90.00
Positions (direct):
Te 0.6631 0.5893 0.3262
Te 0.6657 0.0757 0.3315
Te 0.3369 0.4107 0.6738
Te 0.3343 0.9243 0.6685
Te 0.0030 0.7496 0.0060
Te 0.9970 0.2504 0.9940
Sm 0.1688 0.3363 0.3377
Sm 0.8312 0.6637 0.6623
Dy 0.5000 0.0000 0.0000
Er 0.1700 0.8340 0.3399
Er 0.5000 0.5000 0.0000
Er 0.8300 0.1660 0.6601

Summary:
Raw formation energy: -1.282 eV/atom
Symmetry: C2/m (12)
Crystal system: monoclinic



Entry 7:
Density functional theory data (PBE-GGA) for a relaxed Sm3DyEr3Te8 crystal.

a b c (Å): 8.7175 8.7176 8.7412
angles (deg): 119.91 90.00 120.00
Positions (direct):
Er 0.5000 0.0000 0.5000
Er 0.5000 0.5000 0.5000
Er 0.0000 0.5000 0.5000
Sm 0.0000 0.0000 0.0000
Sm 0.0000 0.5000 0.0000
Sm 0.5000 0.5000 0.0000
Te 0.2534 0.5067 0.2601
Te 0.2543 0.9932 0.7475
Te 0.7457 0.4914 0.2525
Te 0.7389 0.9932 0.7475
Te 0.7466 0.4933 0.7399
Te 0.7457 0.0068 0.2525
Te 0.2611 0.0068 0.2525
Te 0.2543 0.5086 0.7475
Dy 0.0000 0.0000 0.5000

Summary:
Raw formation energy: -1.373 eV/atom
Symmetry: R-3m (166)
Crystal system: trigonal



Entry 8:
Density functional theory data (PBE-GGA) for a relaxed Sm3Dy2ErTe6 crystal.

a b c (Å): 4.3610 8.8545 9.8482
angles (deg): 103.78 102.79 90.00
Positions (direct):
Dy 0.1675 0.3345 0.3350
Dy 0.8325 0.6655 0.6650
Te 0.6634 0.0868 0.3269
Te 0.3320 0.4213 0.6640
Te 0.0014 0.2432 0.0028
Te 0.3366 0.9132 0.6731
Te 0.6680 0.5787 0.3360
Te 0.9986 0.7568 0.9972
Er 0.5000 0.0000 0.0000
Sm 0.5000 0.5000 0.0000
Sm 0.1681 0.8332 0.3362
Sm 0.8319 0.1668 0.6638

Summary:
Raw formation energy: -1.323 eV/atom
Symmetry: C2/m (12)
Crystal system: monoclinic



Entry 9:
Density functional theory data (PBE-GGA) for a relaxed Sm3Dy3ErTe8 crystal.

a b c (Å): 8.7478 8.7477 8.7718
angles (deg): 119.91 90.00 120.00
Positions (direct):
Te 0.2524 0.5048 0.2572
Te 0.2569 0.0048 0.2527
Te 0.2521 0.9952 0.7473
Te 0.2521 0.5042 0.7473
Te 0.7479 0.4958 0.2527
Te 0.7476 0.4952 0.7428
Te 0.7479 0.0048 0.2527
Te 0.7431 0.9952 0.7473
Dy 0.5000 0.5000 0.5000
Dy 0.5000 0.0000 0.5000
Dy 0.0000 0.5000 0.5000
Sm 0.0000 0.5000 0.0000
Sm 0.5000 0.5000 0.0000
Sm 0.0000 0.0000 0.0000
Er 0.0000 0.0000 0.5000

Summary:
Raw formation energy: -1.388 eV/atom
Symmetry: R-3m (166)
Crystal system: trigonal



Entry 10:
Density functional theory data (PBE-GGA) for a relaxed SmDy3Er2Te6 crystal.

a b c (Å): 4.3304 8.7652 9.7263
angles (deg): 102.47 102.86 90.00
Positions (direct):
Er 0.1642 0.3302 0.3284
Er 0.8358 0.6698 0.6716
Te 0.6709 0.0879 0.3418
Te 0.3314 0.4176 0.6628
Te 0.6686 0.5824 0.3372
Te 0.3291 0.9121 0.6582
Te 0.9979 0.7436 0.9958
Te 0.0021 0.2564 0.0042
Sm 0.5000 0.0000 0.0000
Dy 0.5000 0.5000 0.0000
Dy 0.1615 0.8336 0.3230
Dy 0.8385 0.1664 0.6770

Summary:
Raw formation energy: -1.274 eV/atom
Symmetry: C2/m (12)
Crystal system: monoclinic



Entry 11:
Density functional theory data (PBE-GGA) for a relaxed Sm2Dy3ErTe6 crystal.

a b c (Å): 4.3497 8.8070 9.7870
angles (deg): 102.65 102.84 90.00
Positions (direct):
Te 0.6632 0.0765 0.3264
Te 0.9974 0.2462 0.9949
Te 0.3368 0.9235 0.6736
Te 0.6631 0.5871 0.3262
Te 0.0026 0.7538 0.0051
Te 0.3369 0.4129 0.6738
Er 0.5000 0.0000 0.0000
Dy 0.8279 0.1657 0.6559
Dy 0.1721 0.8343 0.3441
Dy 0.5000 0.5000 0.0000
Sm 0.8298 0.6631 0.6597
Sm 0.1702 0.3369 0.3403

Summary:
Raw formation energy: -1.304 eV/atom
Symmetry: C2/m (12)
Crystal system: monoclinic



Entry 12:
Density functional theory data (PBE-GGA) for a relaxed SmDyErTh2 crystal.

a b c (Å): 6.6578 6.6554 8.4926
angles (deg): 113.07 90.00 90.00
Positions (direct):
Er 0.7500 0.1514 0.3028
Er 0.2500 0.8486 0.6972
Th 0.0000 0.2484 0.0000
Th 0.0000 0.7516 0.0000
Th 0.5000 0.7516 0.0000
Th 0.5000 0.2484 0.0000
Sm 0.2500 0.6525 0.3050
Sm 0.7500 0.3475 0.6950
Dy 0.2500 0.2467 0.4934
Dy 0.7500 0.7533 0.5066

Summary:
Symmetry: Cmcm (63)
Crystal system: orthorhombic



Number 1: total energy -4.51 eV per atom. Number 2: total energy -4.61 eV per atom. Number 3: total energy -4.47 eV per atom. Number 4: total energy -4.65 eV per atom. Number 5: total energy -4.60 eV per atom. Number 6: total energy -5.16 eV per atom. Number 7: total energy -5.21 eV per atom. Number 8: total energy -5.22 eV per atom. Number 9: total energy -5.23 eV per atom. Number 10: total energy -5.15 eV per atom. Number 11: total energy -5.19 eV per atom. Number 12: total energy -5.33 eV per atom.